Compound: PrGaPt
Source: OQMD
Functional: PBE-GGA
Structure: optimized geometry

Results
**Calculated density**: 8.413 g/cm3
**Space-group type**: F-43m (216)
**Electronic total energy**: -4.8436 eV per atom

Lattice parameters (Å, degrees): 6.8421 6.8421 6.8421 90.00 90.00 90.00
With the nearest neighbours (Å) after each atom.
Atoms (fractional coordinates):
Pr 0.0000 0.0000 0.0000  4 Pt 2.96, 4 Ga 2.96
Pr 0.0000 0.5000 0.5000  4 Pt 2.96, 4 Ga 2.96
Pr 0.5000 0.0000 0.5000  4 Pt 2.96, 4 Ga 2.96
Pr 0.5000 0.5000 0.0000  4 Pt 2.96, 4 Ga 2.96
Ga 0.2500 0.2500 0.7500  4 Pr 2.96
Ga 0.2500 0.7500 0.2500  4 Pr 2.96
Ga 0.7500 0.2500 0.2500  4 Pr 2.96
Ga 0.7500 0.7500 0.7500  4 Pr 2.96
Pt 0.2500 0.2500 0.2500  4 Pr 2.96
Pt 0.2500 0.7500 0.7500  4 Pr 2.96
Pt 0.7500 0.2500 0.7500  4 Pr 2.96
Pt 0.7500 0.7500 0.2500  4 Pr 2.96

---

Compound: ZnTe
Source: OQMD
Functional: PBE-GGA
Structure: optimized geometry

Results
**Calculated density**: 6.865 g/cm3
**Space-group type**: Pmm2 (25)
**Electronic total energy**: -2.0522 eV per atom

Lattice parameters (Å, degrees): 4.0046 7.5824 6.1499 90.00 90.00 90.00
With the nearest neighbours (Å) after each atom.
Atoms (fractional coordinates):
Zn 0.0000 0.0000 0.0000  4 Zn 2.65-2.89
Zn 0.0000 0.2402 0.6360  3 Zn 2.75-2.89, 4 Te 2.87-3.05
Zn 0.0000 0.7598 0.6360  3 Zn 2.75-2.89, 4 Te 2.87-3.05
Zn 0.5000 0.0000 0.7182  6 Zn 2.65-2.75
Te 0.0000 0.5000 0.1365  6 Te 3.10-3.20
Te 0.5000 0.2055 0.2650  5 Zn 3.02-3.19, 3 Te 3.10-3.12
Te 0.5000 0.5000 0.7296  4 Zn 2.87, 2 Te 3.20
Te 0.5000 0.7945 0.2650  5 Zn 3.02-3.19, 3 Te 3.10-3.12

---

Compound: SiTcW2
Source: OQMD
Functional: PBE-GGA
Structure: optimized geometry

Results
**Calculated density**: 13.843 g/cm3
**Space-group type**: F-43m (216)
**Electronic total energy**: -10.4238 eV per atom

Lattice parameters (Å, degrees): 6.1878 6.1878 6.1878 90.00 90.00 90.00
With the nearest neighbours (Å) after each atom.
Atoms (fractional coordinates):
Si 0.0000 0.0000 0.0000  4 W 2.68, 4 Tc 2.68
Si 0.0000 0.5000 0.5000  4 W 2.68, 4 Tc 2.68
Si 0.5000 0.0000 0.5000  4 W 2.68, 4 Tc 2.68
Si 0.5000 0.5000 0.0000  4 W 2.68, 4 Tc 2.68
Tc 0.2500 0.2500 0.2500  4 W 2.68, 4 Si 2.68
Tc 0.2500 0.7500 0.7500  4 W 2.68, 4 Si 2.68
Tc 0.7500 0.2500 0.7500  4 W 2.68, 4 Si 2.68
Tc 0.7500 0.7500 0.2500  4 W 2.68, 4 Si 2.68
W 0.0000 0.0000 0.5000  4 Tc 2.68, 4 W 2.68
W 0.0000 0.5000 0.0000  4 W 2.68, 4 Tc 2.68
W 0.2500 0.2500 0.7500  4 W 2.68, 4 Si 2.68
W 0.2500 0.7500 0.2500  4 W 2.68, 4 Si 2.68
W 0.5000 0.0000 0.0000  4 W 2.68, 4 Tc 2.68
W 0.5000 0.5000 0.5000  4 W 2.68, 4 Tc 2.68
W 0.7500 0.2500 0.2500  4 W 2.68, 4 Si 2.68
W 0.7500 0.7500 0.7500  4 W 2.68, 4 Si 2.68